# 1
Material: Zr3SbN3
Method: DFT, PBE-GGA
State: optimized geometry

Results
Space group ... R-3, No. 148
DFT total energy ... -9.026 eV per atom

a = 6.370 Å, b = 6.370 Å, c = 8.083 Å
α = 66.80°, β = 66.80°, γ = 60.00°
Element x y z (fractional)
Zr: 0.103 0.762 0.678
Zr: 0.897 0.238 0.322
Zr: 0.543 0.897 0.322
N: 0.567 0.192 0.372
N: 0.808 0.131 0.628
Zr: 0.457 0.103 0.678
N: 0.131 0.433 0.628
N: 0.433 0.808 0.628
N: 0.192 0.869 0.372
N: 0.869 0.567 0.372
Zr: 0.238 0.543 0.322
Sb: 0.667 0.667 0.999
Sb: 0.333 0.333 0.001
Zr: 0.762 0.457 0.678

=====

# 2
Material: Mn4CoAu
Method: DFT, PBE-GGA
State: optimized geometry

Results
Formation energy from the elements ... 0.31 eV per atom
Space group ... F-43m, No. 216

a = 4.720 Å, b = 4.720 Å, c = 4.720 Å
α = 60.00°, β = 60.00°, γ = 60.00°
Element x y z (fractional)
Co: 0.000 0.000 0.000
Mn: 0.375 0.375 0.375
Mn: 0.875 0.375 0.375
Mn: 0.375 0.875 0.375
Mn: 0.375 0.375 0.875
Au: 0.750 0.750 0.750

=====

# 3
Material: La3PrHo6
Method: DFT, PBE-GGA
State: optimized geometry

Results
Formation energy from the elements ... 0.21 eV per atom
Space group ... Cmc2_1, No. 36

a = 6.895 Å, b = 10.008 Å, c = 10.008 Å
α = 93.61°, β = 90.00°, γ = 90.00°
Element x y z (fractional)
Ho: 0.199 0.488 0.280
Pr: 0.022 0.191 0.809
Pr: 0.522 0.809 0.191
Ho: 0.199 0.720 0.512
Ho: 0.017 0.787 0.213
La: 0.484 0.242 0.168
Ho: 0.312 0.525 0.950
Ho: 0.251 0.989 0.011
La: 0.205 0.397 0.603
La: 0.705 0.603 0.397
Ho: 0.699 0.280 0.488
La: 0.984 0.758 0.832
Ho: 0.812 0.475 0.050
Ho: 0.699 0.512 0.720
Ho: 0.812 0.950 0.525
Ho: 0.312 0.050 0.475
Ho: 0.751 0.011 0.989
La: 0.984 0.168 0.242
La: 0.484 0.832 0.758
Ho: 0.517 0.213 0.787

=====

# 4
Material: TcNiP
Method: DFT, PBE-GGA
State: optimized geometry

Results
Energy relative to the lowest polymorph listed for this composition ... 0.203 eV per atom
Formation energy from the elements ... -0.30 eV per atom
Space group ... Cm, No. 8

a = 4.442 Å, b = 2.887 Å, c = 12.866 Å
α = 90.00°, β = 108.79°, γ = 90.00°
Element x y z (fractional)
P: 0.628 0.500 0.663
Tc: 0.271 0.000 0.525
Ni: 0.796 0.500 0.521
P: 0.356 0.000 0.885
P: 0.628 0.000 0.163
Ni: 0.779 0.000 0.815
Tc: 0.195 0.500 0.733
Ni: 0.779 0.500 0.315
Tc: 0.195 0.000 0.233
Ni: 0.796 0.000 0.021
Tc: 0.271 0.500 0.025
P: 0.356 0.500 0.385

=====

# 5
Material: CrCu2Bi2
Method: DFT, PBE-GGA
State: optimized geometry

Results
Formation energy from the elements ... 0.35 eV per atom
Space group ... P4/mbm, No. 127

a = 7.119 Å, b = 7.119 Å, c = 3.998 Å
α = 90.00°, β = 90.00°, γ = 90.00°
Element x y z (fractional)
Cu: 0.624 0.124 0.000
Cr: 0.500 0.500 0.000
Cr: 0.000 0.000 0.000
Bi: 0.820 0.320 0.500
Cu: 0.376 0.876 0.000
Cu: 0.124 0.376 0.000
Bi: 0.320 0.180 0.500
Cu: 0.876 0.624 0.000
Bi: 0.180 0.680 0.500
Bi: 0.680 0.820 0.500

=====

# 6
Material: Si2OsPb
Method: DFT, PBE-GGA
State: optimized geometry

Results
Space group ... I-42d, No. 122
DFT total energy ... -6.072 eV per atom

a = 4.999 Å, b = 4.999 Å, c = 8.254 Å
α = 72.37°, β = 72.37°, γ = 90.00°
Element x y z (fractional)
Pb: 0.750 0.250 0.500
Os: 0.250 0.750 0.500
Si: 0.472 0.125 0.250
Os: 0.500 0.500 0.000
Pb: 0.000 0.000 0.000
Si: 0.375 0.528 0.750
Si: 0.278 0.625 0.250
Si: 0.875 0.722 0.750